# Rb3AgRu

A crystal of Rb3AgRu relaxed with PBEsol (meta-GGA SCAN, the Alexandria database).

Properties
total energy: -24.7645 eV/atom
space group: Pm-3m (221)

Cell and atoms, written as POSCAR:
```
Rb3AgRu
1.0
6.1107 0.0000 0.0000
0.0000 6.1107 0.0000
0.0000 0.0000 6.1107
Rb Ag Ru
3 1 1
Cartesian
0.0000 0.0000 3.0554 Rb
0.0000 3.0554 0.0000 Rb
3.0554 0.0000 0.0000 Rb
3.0554 3.0554 3.0554 Ag
0.0000 0.0000 0.0000 Ru
```



# CrCo2Mo

A crystal of CrCo2Mo relaxed with PBEsol (meta-GGA SCAN, the Alexandria database).

Properties
E above lowest polymorph: 40 meV/atom
total energy: -21.7484 eV/atom
space group: Cmmm (65)

Cell and atoms, written as POSCAR:
```
CrCo2Mo
1.0
5.0552 0.0000 0.0000
0.0000 7.1619 0.0000
0.0000 0.0000 2.5418
Cr Co Mo
2 4 2
Cartesian
0.0000 0.0000 0.0000 Cr
2.5276 3.5809 0.0000 Cr
1.2638 1.7905 1.2709 Co
1.2638 5.3714 1.2709 Co
3.7914 1.7905 1.2709 Co
3.7914 5.3714 1.2709 Co
0.0000 3.5809 0.0000 Mo
2.5276 0.0000 0.0000 Mo
```



# CuHgAsSe2

A crystal of CuHgAsSe2 relaxed with PBEsol (meta-GGA SCAN, the Alexandria database).

Properties
total energy: -27.5613 eV/atom
ΔE_f (raw): 1181 meV/atom
space group: P4/mmm (123)

Cell and atoms, written as POSCAR:
```
CuHgAsSe2
1.0
5.1797 0.0000 0.0000
0.0000 5.1797 0.0000
0.0000 0.0000 5.0560
Cu Hg As Se
1 1 1 2
Cartesian
0.0000 0.0000 0.0000 Cu
2.5899 2.5899 2.5280 Hg
2.5899 2.5899 0.0000 As
0.0000 2.5899 2.5280 Se
2.5899 0.0000 2.5280 Se
```



# InFeTc2Sb

A crystal of InFeTc2Sb relaxed with PBEsol (meta-GGA SCAN, the Alexandria database).

Properties
total energy: -30.7438 eV/atom
ΔE_f (raw): 1036 meV/atom
space group: P4/mmm (123)

Cell and atoms, written as POSCAR:
```
InFeTc2Sb
1.0
4.4407 0.0000 0.0000
0.0000 4.4407 0.0000
0.0000 0.0000 4.6728
In Fe Tc Sb
1 1 2 1
Cartesian
0.0000 0.0000 0.0000 In
0.0000 0.0000 2.3364 Fe
0.0000 2.2203 2.3364 Tc
2.2203 0.0000 2.3364 Tc
2.2203 2.2203 0.0000 Sb
```



One value per record, in order, for calculated volume: 45.64; 11.50; 27.13; 18.43 Å³/atom.